Entry 1:
VASP calculation (GGA-PBE) on a geometry-optimized Tl2IrF8 structure.

a = 4.776 Å, b = 6.416 Å, c = 6.417 Å
α = 74.75°, β = 105.38°, γ = 105.36°
Site moments in Bohr magnetons follow the coordinates.
Sites, in units of the cell vectors:
F: 0.192 0.411 0.411  0.00
F: 0.257 0.889 0.889  0.09
F: 0.808 0.589 0.589  0.00
F: 0.752 0.700 0.040  0.03
F: 0.743 0.111 0.111  0.09
F: 0.248 0.960 0.300  0.03
F: 0.752 0.040 0.700  0.03
F: 0.248 0.300 0.960  0.03
Tl: 0.355 0.658 0.658  0.00
Tl: 0.645 0.342 0.342  0.00
Ir: 0.000 0.000 0.000  0.64

## Properties
uncorrected formation energy: -1.632 eV/atom
magnetic moment: 0.088 μB per atom

Entry 2:
VASP calculation (GGA-PBE) on a geometry-optimized MgFePt2 structure.

a = 4.616 Å, b = 6.461 Å, c = 2.863 Å
α = 63.51°, β = 90.12°, γ = 124.16°
Site moments in Bohr magnetons follow the coordinates.
Sites, in units of the cell vectors:
Mg: 0.500 0.000 0.500  -0.01
Pt: 0.000 0.500 0.500  0.20
Pt: 0.000 0.000 0.000  0.20
Fe: 0.500 0.500 0.000  3.05

## Properties
ΔE_f: -195 kJ/mol of formula units
magnetic moment: 0.853 μB per atom

Entry 3:
VASP calculation (GGA-PBE) on a geometry-optimized Sm2Ni5Rh5 structure.

a = 4.050 Å, b = 5.242 Å, c = 8.849 Å
α = 90.00°, β = 90.00°, γ = 90.00°
Sites, in units of the cell vectors:
Ni: 0.000 0.500 0.331
Ni: 0.000 0.000 0.846
Ni: 0.000 0.500 0.669
Ni: 0.500 0.000 0.000
Ni: 0.000 0.000 0.154
Sm: 0.000 0.000 0.500
Sm: 0.000 0.500 0.000
Rh: 0.500 0.248 0.245
Rh: 0.500 0.500 0.500
Rh: 0.500 0.248 0.755
Rh: 0.500 0.752 0.755
Rh: 0.500 0.752 0.245

## Properties
ΔE_f: -414 kJ/mol of formula units
magnetic moment: 0.000 μB per atom

Entry 4:
VASP calculation (GGA-PBE) on a geometry-optimized Mn2CoP structure.

a = 6.399 Å, b = 6.399 Å, c = 5.128 Å
α = 51.40°, β = 51.40°, γ = 90.00°
Site moments in Bohr magnetons follow the coordinates.
Sites, in units of the cell vectors:
Co: 0.000 0.000 0.000  0.85
Co: 0.750 0.250 0.500  0.85
Mn: 0.147 0.625 0.250  2.34
Mn: 0.875 0.853 0.750  2.27
Mn: 0.603 0.125 0.250  2.30
Mn: 0.375 0.397 0.750  2.36
P: 0.500 0.500 0.000  -0.09
P: 0.250 0.750 0.500  -0.09

## Properties
ΔE_f: 53 kJ/mol of formula units
magnetic moment: 1.385 μB per atom